First-principles (PBE) data for a relaxed structure of Rb2YSbW, as listed in the Alexandria database.

Geometry as extended XYZ:
```
5
Lattice="6.8751 0.0000 0.0000 0.0000 5.2108 0.0000 0.0000 0.0000 6.8751" Properties=species:S:1:pos:R:3 pbc="T T T"
W 0.0000 0.0000 0.0000
Sb 0.0000 2.6054 0.0000
Rb 0.0000 0.0000 3.4376
Rb 3.4376 0.0000 0.0000
Y 3.4376 2.6054 3.4376
```

Calculated values
The value obtained for the formation energy without anion corrections is 1.343 eV/atom. The calculation puts the magnetization at 2.545 μB per formula unit.